Record 1
## ZrBeCl2 (PBE)

Data for a relaxed ZrBeCl2 crystal.

The structure in extended XYZ format:
```
4
Lattice="1.554 -3.001 0.000 1.554 3.001 0.000 0.000 0.000 10.274" Properties=species:S:1:pos:R:3 pbc="T T T"
Zr 0.000 0.000 0.000
Be 0.000 0.000 5.137
Cl 1.554 0.000 2.039
Cl 1.554 0.000 8.236
```

Properties
ΔE_f (raw) = -213.3 meV per atom
raw total energy = -4.2052 eV per atom
space-group type = Cmmm, No. 65
Fermi-level density of states = 0.455 states/eV/atom
E above lowest polymorph = 589 meV per atom

Record 2
## Pm2PuSn (PBE)

Data for a relaxed Pm2PuSn crystal.

The structure in extended XYZ format:
```
4
Lattice="0.000 3.870 3.870 3.870 0.000 3.870 3.870 3.870 0.000" Properties=species:S:1:pos:R:3 pbc="T T T"
Pm 1.935 1.935 1.935
Pm 5.805 5.805 5.805
Pu 0.000 0.000 0.000
Sn 3.870 3.870 3.870
```

Properties
raw total energy = -7.1413 eV per atom
space-group type = Fm-3m, No. 225
Fermi-level density of states = 4.553 states/eV/atom
E above lowest polymorph = 150 meV per atom

Record 3
## V2NiH (PBE)

Data for a relaxed V2NiH crystal.

The structure in extended XYZ format:
```
16
Lattice="4.563 0.000 0.000 0.000 4.243 0.000 -4.021 0.000 8.272" Properties=species:S:1:pos:R:3 pbc="T T T"
V -0.261 0.992 0.876
V -2.272 1.130 5.012
V -2.164 1.018 7.680
V -0.154 1.104 3.543
V 0.696 3.139 4.729
V 2.707 3.226 0.593
V 2.814 3.114 3.260
V 0.804 3.251 7.396
Ni 0.530 3.172 2.046
Ni -1.480 3.193 6.182
Ni 2.023 1.050 2.090
Ni 0.012 1.072 6.226
H 1.058 2.276 0.474
H -0.953 4.089 4.610
H 1.495 0.154 3.663
H -0.516 1.968 7.799
```

Properties
raw total energy = -6.9104 eV per atom
space-group type = P2_1/c, No. 14
Fermi-level density of states = 1.072 states/eV/atom

Record 4
## FeSi2Au (PBE)

Data for a relaxed FeSi2Au crystal.

The structure in extended XYZ format:
```
4
Lattice="1.424 0.822 7.921 -1.424 0.822 7.921 0.000 -1.644 7.921" Properties=species:S:1:pos:R:3 pbc="T T T"
Fe 0.000 0.000 0.000
Si 0.000 0.000 6.220
Si 0.000 0.000 17.543
Au 0.000 0.000 11.881
```

Properties
ΔE_f (raw) = 9.9 meV per atom
raw total energy = -5.6366 eV per atom
space-group type = R-3m, No. 166
Fermi-level density of states = 0.576 states/eV/atom
E above lowest polymorph = 91 meV per atom

Among the records above, which one has the highest raw total energy?
ZrBeCl2